Entry 1:
YAuCl: optimized geometry, PBEsol.

The crystal system is cubic. As for the space-group type: No. 216. The energy relative to the elements, uncorrected is -2.0 eV per formula unit. The value obtained for the total energy is -0.1812 Ha/atom. Its calculated density is 7.8 Mg/m³.

Unit cell a=4.5811 b=4.5811 c=4.5811 alpha=60.00 beta=60.00 gamma=60.00
Closest atoms and distances in Å follow each position.
Atoms (fractional coordinates):
Y (0.0000, 0.0000, 0.0000)  4 Cl 2.81
Au (0.5000, 0.5000, 0.5000)  4 Cl 2.81
Cl (0.2500, 0.2500, 0.2500)  4 Au 2.81, 4 Y 2.81

---

Entry 2:
KCaTa2: optimized geometry, PBEsol.

The crystal system is monoclinic. As for the space-group type: No. 12. The energy of formation from the pure elements is 1.106 eV/atom. The value obtained for the total energy is -0.2200 Ha/atom. Its calculated density is 6.1 Mg/m³.

Unit cell a=2.9143 b=5.9088 c=7.2227 alpha=91.26 beta=90.00 gamma=104.28
Closest atoms and distances in Å follow each position.
Atoms (fractional coordinates):
Ca (0.0000, 0.0000, 0.5000)  2 Ca 2.91, 2 Ta 3.16
K (0.5000, 0.0000, 0.0000)  2 K 2.91
Ta (0.7425, 0.4850, 0.6493)  4 Ta 2.61-2.91
Ta (0.2575, 0.5150, 0.3507)  4 Ta 2.61-2.91

---

Entry 3:
SbTe2Os: optimized geometry, PBEsol.

The crystal system is trigonal. As for the space-group type: No. 166. The energy relative to the elements, uncorrected is 1.3 eV per formula unit. The value obtained for the total energy is -0.2066 Ha/atom. Its calculated density is 8.3 Mg/m³.

Unit cell a=3.8309 b=3.8309 c=9.1830 alpha=77.96 beta=77.96 gamma=60.00
Closest atoms and distances in Å follow each position.
Atoms (fractional coordinates):
Sb (0.0000, 0.0000, 0.0000)  2 Te 3.05
Te (0.8859, 0.8859, 0.3422)  3 Os 2.62
Te (0.1141, 0.1141, 0.6578)  3 Os 2.62
Os (0.5000, 0.5000, 0.5000)  6 Te 2.62

---

Entry 4:
Sr3Ca2P3O12F: optimized geometry, PBEsol.

The crystal system is triclinic. As for the space-group type: No. 1. The energy relative to the elements, uncorrected is -63.8 eV per formula unit. The value obtained for the total energy is -0.2727 Ha/atom. Its calculated density is 3.8 Mg/m³.

Unit cell a=7.1007 b=9.5257 c=9.5502 alpha=119.82 beta=90.12 gamma=90.14
Closest atoms and distances in Å follow each position.
Atoms (fractional coordinates):
Sr (0.2362, 0.0155, 0.2408)  1 F 2.46, 5 O 2.48-2.63
Sr (0.7467, 0.2574, 0.2413)  1 F 2.38, 5 O 2.45-2.66
Sr (0.7379, 0.7595, 0.0146)  1 F 2.37, 4 O 2.45-2.60
Sr (0.7406, 0.9830, 0.7506)  1 F 2.38, 4 O 2.47-2.58
Sr (0.9900, 0.3329, 0.6702)  9 O 2.56-2.79
Sr (0.4906, 0.6663, 0.3322)  9 O 2.54-2.70
Ca (0.4874, 0.3360, 0.6687)  6 O 2.35-2.41
Ca (0.9922, 0.6783, 0.3325)  6 O 2.34-2.51
Ca (0.2409, 0.7449, 0.7430)  1 F 2.30, 5 O 2.38-2.47
Ca (0.2461, 0.2437, 0.9936)  1 F 2.32, 4 O 2.34-2.44
P (0.7452, 0.6021, 0.6308)  4 O 1.55
P (0.7470, 0.3679, 0.9725)  4 O 1.55-1.56
P (0.7391, 0.0347, 0.4041)  4 O 1.55
P (0.2466, 0.3975, 0.3674)  4 O 1.55
P (0.2417, 0.6292, 0.0306)  4 O 1.55-1.56
P (0.2447, 0.9686, 0.6008)  4 O 1.55
O (0.5721, 0.6799, 0.7421)  1 P 1.55
O (0.5774, 0.2535, 0.9436)  1 P 1.55
O (0.5733, 0.0718, 0.3226)  1 P 1.55
O (0.0892, 0.3042, 0.2424)  1 P 1.55
O (0.0666, 0.7402, 0.0822)  1 P 1.55
O (0.0707, 0.9167, 0.6617)  1 P 1.55
O (0.7598, 0.6616, 0.5070)  1 P 1.55
O (0.7656, 0.4923, 0.1551)  1 P 1.55
O (0.7538, 0.8499, 0.3372)  1 P 1.55
O (0.2603, 0.3344, 0.4885)  1 P 1.55
O (0.2539, 0.5235, 0.8445)  1 P 1.55
O (0.2597, 0.1556, 0.6838)  1 P 1.55
O (0.9245, 0.6490, 0.7385)  1 P 1.55
O (0.9277, 0.2635, 0.9089)  1 P 1.55
O (0.9218, 0.1008, 0.3690)  1 P 1.55
O (0.4287, 0.3657, 0.2678)  1 P 1.55
O (0.4178, 0.7389, 0.0983)  1 P 1.55
O (0.4195, 0.8952, 0.6376)  1 P 1.55
O (0.7233, 0.4151, 0.5433)  1 P 1.55
O (0.7173, 0.4570, 0.8750)  1 P 1.56
O (0.7109, 0.1255, 0.5899)  1 P 1.55
O (0.2095, 0.5826, 0.4584)  1 P 1.55
O (0.2284, 0.5250, 0.1143)  1 P 1.56
O (0.2282, 0.8878, 0.4144)  1 P 1.55
F (0.2718, 0.9924, 0.9743)  2 Ca 2.30-2.32, 1 Sr 2.46
F (0.7890, 0.0008, 0.0061)  3 Sr 2.37-2.38

---

> What is the formula in the first record?

YAuCl